# TaReSi2 | Alexandria via LeMat-Bulk | PBE-GGA | optimized geometry
# Formation energy (no corrections): 225 meV/atom
# Fermi-level density of states: 2.56 states/eV/f.u.
data_TaReSi2
_chemical_formula_sum 'Ta4 Re4 Si8'
_cell_length_a 3.802
_cell_length_b 3.802
_cell_length_c 17.997
_cell_angle_alpha 90.00
_cell_angle_beta 90.00
_cell_angle_gamma 90.00
_space_group_name_H-M_alt 'I -4 2 d'
_space_group_IT_number 122
_space_group_name_Hall 'I -4 2bw'
loop_
_atom_site_label
_atom_site_type_symbol
_atom_site_fract_x
_atom_site_fract_y
_atom_site_fract_z
_atom_site_occupancy
Ta1 Ta 0.000 0.000 0.000 1
Re1 Re 0.000 0.000 0.500 1
Si1 Si 0.233 0.250 0.625 1

# La2Pr2DyEr | Alexandria via LeMat-Bulk | PBE-GGA | optimized geometry
# Formation enthalpy at 0 K: 31.2 kJ/mol of formula units
# Fermi-level density of states: 9.06 states/eV/f.u.
data_La2Pr2DyEr
_chemical_formula_sum 'La4 Pr4 Dy2 Er2'
_cell_length_a 7.146
_cell_length_b 5.778
_cell_length_c 10.029
_cell_angle_alpha 90.00
_cell_angle_beta 90.00
_cell_angle_gamma 90.00
_space_group_name_H-M_alt 'P m m a'
_space_group_IT_number 51
loop_
_space_group_symop_operation_xyz
'x,y,z'
'-x,-y,-z'
'-x+1/2,-y,z'
'x+1/2,y,-z'
'x+1/2,-y,-z'
'-x+1/2,y,z'
'-x,y,-z'
'x,-y,z'
loop_
_atom_site_label
_atom_site_type_symbol
_atom_site_fract_x
_atom_site_fract_y
_atom_site_fract_z
_atom_site_occupancy
La1 La 0.000 0.000 0.000 1
La2 La 0.250 0.500 0.176 1
Pr1 Pr 0.250 0.000 0.332 1
Pr2 Pr 0.250 0.500 0.835 1
Dy1 Dy 0.000 0.500 0.500 1
Er1 Er 0.250 0.000 0.657 1

# SmSc2Ag | Alexandria via LeMat-Bulk | PBE-GGA | optimized geometry
# Formation enthalpy at 0 K: -34.1 kJ/mol of formula units
# Fermi-level density of states: 6.71 states/eV/f.u.
data_SmSc2Ag
_chemical_formula_sum 'Sm1 Sc2 Ag1'
_cell_length_a 3.495
_cell_length_b 3.495
_cell_length_c 8.038
_cell_angle_alpha 90.00
_cell_angle_beta 90.00
_cell_angle_gamma 90.00
_space_group_name_H-M_alt 'P 4/m m m'
_space_group_IT_number 123
_space_group_name_Hall '-P 4 2'
loop_
_atom_site_label
_atom_site_type_symbol
_atom_site_fract_x
_atom_site_fract_y
_atom_site_fract_z
_atom_site_occupancy
Sm1 Sm 0.000 0.000 0.000 1
Sc1 Sc 0.500 0.500 0.295 1
Ag1 Ag 0.000 0.000 0.500 1

# LuZrGaIr | Alexandria via LeMat-Bulk | PBE-GGA | optimized geometry
# Formation enthalpy at 0 K: -244.8 kJ/mol of formula units
# Fermi-level density of states: 3.28 states/eV/f.u.
data_LuZrGaIr
_chemical_formula_sum 'Lu4 Zr4 Ga4 Ir4'
_cell_length_a 6.771
_cell_length_b 6.771
_cell_length_c 6.771
_cell_angle_alpha 90.00
_cell_angle_beta 90.00
_cell_angle_gamma 90.00
_space_group_name_H-M_alt 'F -4 3 m'
_space_group_IT_number 216
_space_group_name_Hall 'F -4 2 3'
loop_
_atom_site_label
_atom_site_type_symbol
_atom_site_fract_x
_atom_site_fract_y
_atom_site_fract_z
_atom_site_occupancy
Lu1 Lu 0.000 0.000 0.000 1
Zr1 Zr 0.000 0.000 0.500 1
Ga1 Ga 0.250 0.250 0.750 1
Ir1 Ir 0.250 0.250 0.250 1

# Pu2CrOs3 | Alexandria via LeMat-Bulk | PBE-GGA | optimized geometry
# Formation enthalpy at 0 K: -36.5 kJ/mol of formula units
# Fermi-level density of states: 16.44 states/eV/f.u.
data_Pu2CrOs3
_chemical_formula_sum 'Pu6 Cr3 Os9'
_cell_length_a 5.5442
_cell_length_b 5.5442
_cell_length_c 11.7275
_cell_angle_alpha 90.00
_cell_angle_beta 90.00
_cell_angle_gamma 120.00
_space_group_name_H-M_alt 'R -3 m'
_space_group_IT_number 166
_space_group_name_Hall '-R 3 2"'
loop_
_atom_site_label
_atom_site_type_symbol
_atom_site_fract_x
_atom_site_fract_y
_atom_site_fract_z
_atom_site_occupancy
Pu1 Pu 0.0000 0.0000 0.1224 1
Cr1 Cr 0.0000 0.0000 0.5000 1
Os1 Os 0.0000 0.5000 0.0000 1

# La4HgIr | Alexandria via LeMat-Bulk | PBE-GGA | optimized geometry
# Formation enthalpy at 0 K: -299.8 kJ/mol of formula units
# Fermi-level density of states: 5.46 states/eV/f.u.
data_La4HgIr
_chemical_formula_sum 'La64 Hg16 Ir16'
_cell_length_a 14.266
_cell_length_b 14.266
_cell_length_c 14.266
_cell_angle_alpha 90.00
_cell_angle_beta 90.00
_cell_angle_gamma 90.00
_space_group_name_H-M_alt 'F -4 3 m'
_space_group_IT_number 216
_space_group_name_Hall 'F -4 2 3'
loop_
_atom_site_label
_atom_site_type_symbol
_atom_site_fract_x
_atom_site_fract_y
_atom_site_fract_z
_atom_site_occupancy
La1 La 0.000 0.000 0.191 1
La2 La 0.058 0.250 0.750 1
La3 La 0.099 0.099 0.401 1
Hg1 Hg 0.167 0.167 0.167 1
Ir1 Ir 0.109 0.109 0.609 1

# SmCdB5O10 | Alexandria via LeMat-Bulk | PBE-GGA | optimized geometry
# Formation energy (no corrections): -2483 meV/atom
# Fermi-level density of states: 0.00 states/eV/f.u.
data_SmCdB5O10
_chemical_formula_sum 'Sm4 Cd4 B20 O40'
_cell_length_a 8.706
_cell_length_b 7.979
_cell_length_c 12.758
_cell_angle_alpha 90.00
_cell_angle_beta 130.97
_cell_angle_gamma 90.00
_space_group_name_H-M_alt 'P 1 21/c 1'
_space_group_IT_number 14
loop_
_space_group_symop_operation_xyz
'x,y,z'
'-x,-y,-z'
'-x,y+1/2,-z+1/2'
'x,-y+1/2,z+1/2'
loop_
_atom_site_label
_atom_site_type_symbol
_atom_site_fract_x
_atom_site_fract_y
_atom_site_fract_z
_atom_site_occupancy
Sm1 Sm 0.048 0.183 0.240 1
Cd1 Cd 0.473 0.595 0.871 1
B1 B 0.078 0.676 0.595 1
B2 B 0.145 0.605 0.989 1
B3 B 0.279 0.030 0.058 1
B4 B 0.332 0.574 0.248 1
B5 B 0.471 0.175 0.905 1
O1 O 0.023 0.734 0.973 1
O2 O 0.103 0.115 0.927 1
O3 O 0.123 0.560 0.877 1
O4 O 0.185 0.705 0.218 1
O5 O 0.218 0.534 0.637 1
O6 O 0.288 0.532 0.117 1
O7 O 0.307 0.081 0.798 1
O8 O 0.332 0.617 0.512 1
O9 O 0.413 0.171 0.419 1
O10 O 0.459 0.138 0.149 1

# Te2IrIN | Alexandria via LeMat-Bulk | PBE-GGA | optimized geometry
# Formation energy (no corrections): 1899 meV/atom
# Fermi-level density of states: 4.30 states/eV/f.u.
data_Te2IrIN
_chemical_formula_sum 'Te2 Ir1 I1 N1'
_cell_length_a 5.724
_cell_length_b 5.724
_cell_length_c 3.801
_cell_angle_alpha 90.00
_cell_angle_beta 90.00
_cell_angle_gamma 90.00
_space_group_name_H-M_alt 'P 4/m m m'
_space_group_IT_number 123
_space_group_name_Hall '-P 4 2'
loop_
_atom_site_label
_atom_site_type_symbol
_atom_site_fract_x
_atom_site_fract_y
_atom_site_fract_z
_atom_site_occupancy
Te1 Te 0.000 0.500 0.000 1
Ir1 Ir 0.000 0.000 0.500 1
I1 I 0.500 0.500 0.000 1
N1 N 0.500 0.500 0.500 1

# LaMoOsSe2 | Alexandria via LeMat-Bulk | PBE-GGA | optimized geometry
# Formation energy (no corrections): -25 meV/atom
# Fermi-level density of states: 2.38 states/eV/f.u.
data_LaMoOsSe2
_chemical_formula_sum 'La1 Mo1 Os1 Se2'
_cell_length_a 4.922
_cell_length_b 4.922
_cell_length_c 4.813
_cell_angle_alpha 90.00
_cell_angle_beta 90.00
_cell_angle_gamma 90.00
_space_group_name_H-M_alt 'P 4/m m m'
_space_group_IT_number 123
_space_group_name_Hall '-P 4 2'
loop_
_atom_site_label
_atom_site_type_symbol
_atom_site_fract_x
_atom_site_fract_y
_atom_site_fract_z
_atom_site_occupancy
La1 La 0.000 0.000 0.000 1
Mo1 Mo 0.500 0.500 0.500 1
Os1 Os 0.500 0.500 0.000 1
Se1 Se 0.000 0.500 0.500 1

# LiNb3Al | Alexandria via LeMat-Bulk | PBE-GGA | optimized geometry
# Formation enthalpy at 0 K: 395.2 kJ/mol of formula units
# Fermi-level density of states: 5.57 states/eV/f.u.
data_LiNb3Al
_chemical_formula_sum 'Li1 Nb3 Al1'
_cell_length_a 4.417
_cell_length_b 4.417
_cell_length_c 4.417
_cell_angle_alpha 90.00
_cell_angle_beta 90.00
_cell_angle_gamma 90.00
_space_group_name_H-M_alt 'P m -3 m'
_space_group_IT_number 221
_space_group_name_Hall '-P 4 2 3'
loop_
_atom_site_label
_atom_site_type_symbol
_atom_site_fract_x
_atom_site_fract_y
_atom_site_fract_z
_atom_site_occupancy
Li1 Li 0.000 0.000 0.000 1
Nb1 Nb 0.000 0.000 0.500 1
Al1 Al 0.500 0.500 0.500 1

# Zn6Cu3Ir | Alexandria via LeMat-Bulk | PBE-GGA | optimized geometry
# Formation enthalpy at 0 K: 32.7 kJ/mol of formula units
# Fermi-level density of states: 3.44 states/eV/f.u.
data_Zn6Cu3Ir
_chemical_formula_sum 'Zn12 Cu6 Ir2'
_cell_length_a 6.503
_cell_length_b 6.387
_cell_length_c 8.084
_cell_angle_alpha 90.00
_cell_angle_beta 123.10
_cell_angle_gamma 90.00
_space_group_name_H-M_alt 'P 1 21/c 1'
_space_group_IT_number 14
loop_
_space_group_symop_operation_xyz
'x,y,z'
'-x,-y,-z'
'-x,y+1/2,-z+1/2'
'x,-y+1/2,z+1/2'
loop_
_atom_site_label
_atom_site_type_symbol
_atom_site_fract_x
_atom_site_fract_y
_atom_site_fract_z
_atom_site_occupancy
Zn1 Zn 0.029 0.123 0.222 1
Zn2 Zn 0.257 0.703 0.670 1
Zn3 Zn 0.380 0.080 0.829 1
Cu1 Cu 0.000 0.000 0.500 1
Cu2 Cu 0.258 0.174 0.058 1
Ir1 Ir 0.500 0.000 0.500 1

# OsCl3F3 | Alexandria via LeMat-Bulk | PBE-GGA | optimized geometry
# Formation energy (no corrections): -850 meV/atom
# Fermi-level density of states: 6.10 states/eV/f.u.
data_OsCl3F3
_chemical_formula_sum 'Os3 Cl9 F9'
_cell_length_a 10.2231
_cell_length_b 10.2231
_cell_length_c 5.9416
_cell_angle_alpha 90.00
_cell_angle_beta 90.00
_cell_angle_gamma 120.00
_space_group_name_H-M_alt 'R 3 m'
_space_group_IT_number 160
_space_group_name_Hall 'R 3 -2"'
loop_
_atom_site_label
_atom_site_type_symbol
_atom_site_fract_x
_atom_site_fract_y
_atom_site_fract_z
_atom_site_occupancy
Os1 Os 0.0000 0.0000 0.0000 1
Cl1 Cl 0.1006 0.2012 0.7686 1
F1 F 0.0817 0.1634 0.2100 1